This record from the Alexandria database describes crystalline AcGe2Pd4 at its relaxed geometry. The functional is GGA-PBE.

E_tot (eV per atom): -5.57
DFT formation energy (kJ per mole of atoms): -67
Total moment (Bohr magnetons per cell): 0.0
Calculated volume (A^3/atom): 18.67
Energy relative to the lowest polymorph listed for this composition (meV per atom): 0

a = 8.0818 Å, b = 8.0818 Å, c = 4.0028 Å
α = 90.00°, β = 90.00°, γ = 90.00°
Last column: nearest neighbours and their distance in Å.
Fractional positions:
Ac1 0.0000 0.0000 0.0000  6 Ge 3.18-3.23, 8 Pd 3.46
Ac2 0.5000 0.5000 0.5000  6 Ge 3.18-3.23, 8 Pd 3.46
Ge1 0.2214 0.2214 0.5000  6 Pd 2.58-2.66
Ge2 0.2786 0.7214 0.0000  6 Pd 2.58-2.66
Ge3 0.7214 0.2786 0.0000  6 Pd 2.58-2.66
Ge4 0.7786 0.7786 0.5000  6 Pd 2.58-2.66
Pd1 0.0869 0.6621 0.5000  3 Ge 2.58-2.66, 1 Pd 2.87
Pd2 0.1621 0.4131 0.0000  3 Ge 2.58-2.66, 1 Pd 2.87
Pd3 0.3379 0.9131 0.5000  3 Ge 2.58-2.66, 1 Pd 2.87
Pd4 0.4131 0.1621 0.0000  3 Ge 2.58-2.66, 1 Pd 2.87
Pd5 0.5869 0.8379 0.0000  3 Ge 2.58-2.66, 1 Pd 2.87
Pd6 0.6621 0.0869 0.5000  3 Ge 2.58-2.66, 1 Pd 2.87
Pd7 0.8379 0.5869 0.0000  3 Ge 2.58-2.66, 1 Pd 2.87
Pd8 0.9131 0.3379 0.5000  3 Ge 2.58-2.66, 1 Pd 2.87

***

This record from the Alexandria database describes crystalline AcGe4Pd6 at its relaxed geometry. The functional is GGA-PBE.

E_tot (eV per atom): -5.54
DFT formation energy (kJ per mole of atoms): -64
Total moment (Bohr magnetons per cell): 0.0
Calculated volume (A^3/atom): 17.53

a = 7.3275 Å, b = 7.3275 Å, c = 4.1479 Å
α = 90.00°, β = 90.00°, γ = 120.00°
Last column: nearest neighbours and their distance in Å.
Fractional positions:
Ac1 0.0000 0.0000 0.0000  6 Ge 3.27, 6 Pd 3.30
Ge1 0.1994 0.3988 0.5000  6 Pd 2.55-2.67
Ge2 0.1994 0.8006 0.5000  6 Pd 2.55-2.67
Ge3 0.6012 0.8006 0.5000  6 Pd 2.55-2.67
Ge4 0.6667 0.3333 0.0000  9 Pd 2.56-2.66
Pd1 0.0706 0.5353 0.0000  5 Ge 2.56-2.67
Pd2 0.4035 0.2018 0.5000  4 Ge 2.55-2.66
Pd3 0.4647 0.5353 0.0000  5 Ge 2.56-2.67
Pd4 0.4647 0.9294 0.0000  5 Ge 2.56-2.67
Pd5 0.7982 0.2018 0.5000  4 Ge 2.55-2.66
Pd6 0.7982 0.5965 0.5000  4 Ge 2.55-2.66

***

This record from the Alexandria database describes crystalline Ac2GePd at its relaxed geometry. The functional is GGA-PBE.

E_tot (eV per atom): -5.17
DFT formation energy (kJ per mole of atoms): -64
Total moment (Bohr magnetons per cell): 0.0
Calculated volume (A^3/atom): 28.76
Energy relative to the lowest polymorph listed for this composition (meV per atom): 76

a = 5.4589 Å, b = 5.4589 Å, c = 5.4589 Å
α = 60.00°, β = 60.00°, γ = 60.00°
Last column: nearest neighbours and their distance in Å.
Fractional positions:
Ac1 0.2500 0.2500 0.2500  4 Ge 3.34, 4 Pd 3.34
Ac2 0.7500 0.7500 0.7500  4 Ge 3.34, 4 Pd 3.34
Ge1 0.0000 0.0000 0.0000  8 Ac 3.34
Pd1 0.5000 0.5000 0.5000  8 Ac 3.34